(1)
VASP calculation (PBE) on a relaxed structure of CsScZn2Cl8.

```
data_CsScZn2Cl8
_chemical_formula_sum 'Cs3 Sc3 Zn6 Cl24'
_symmetry_space_group_name_H-M 'R -3'
_symmetry_Int_Tables_number 148
_symmetry_space_group_name_Hall '-R 3'
_cell_length_a 6.3916
_cell_length_b 6.3916
_cell_length_c 31.1648
_cell_angle_alpha 90.00
_cell_angle_beta 90.00
_cell_angle_gamma 120.00
loop_
_atom_site_label
_atom_site_fract_x
_atom_site_fract_y
_atom_site_fract_z
Cs1 0.0000 0.0000 0.0000
Sc1 0.0000 0.0000 0.5000
Zn1 0.0000 0.0000 0.2382
Cl1 0.0000 0.0000 0.3095
Cl2 0.0041 0.3210 0.5471
```

## Properties
Raw formation energy   -1.6076 eV/atom
D(E_F)   0.00 states/eV/cell
Total magnetic moment   0.00 Bohr magnetons per cell

(2)
VASP calculation (PBE) on a relaxed structure of Li2Dy5In5.

```
data_Li2Dy5In5
_chemical_formula_sum 'Li4 Dy10 In10'
_symmetry_space_group_name_H-M 'C 1 2/m 1'
_symmetry_Int_Tables_number 12
_cell_length_a 8.7018
_cell_length_b 5.0564
_cell_length_c 14.4174
_cell_angle_alpha 90.00
_cell_angle_beta 101.66
_cell_angle_gamma 90.00
loop_
_symmetry_equiv_pos_as_xyz
'x,y,z'
'-x,-y,-z'
'-x,y,-z'
'x,-y,z'
'x+1/2,y+1/2,z'
'-x+1/2,-y+1/2,-z'
'-x+1/2,y+1/2,-z'
'x+1/2,-y+1/2,z'
loop_
_atom_site_label
_atom_site_fract_x
_atom_site_fract_y
_atom_site_fract_z
Li1 0.0691 0.0000 0.2135
Dy1 0.0000 0.5000 0.5000
Dy2 0.1933 0.5000 0.0843
Dy3 0.2261 0.0000 0.6722
In1 0.0000 0.0000 0.0000
In2 0.1005 0.5000 0.7960
In3 0.1400 0.0000 0.4240
```

## Properties
Energy relative to the elements   -0.333 eV/atom
D(E_F)   22.09 states/eV/cell
Total magnetic moment   0.00 Bohr magnetons per cell

(3)
VASP calculation (PBE) on a relaxed structure of InPtO3.

```
data_InPtO3
_chemical_formula_sum 'In1 Pt1 O3'
_symmetry_space_group_name_H-M 'P m -3 m'
_symmetry_Int_Tables_number 221
_symmetry_space_group_name_Hall '-P 4 2 3'
_cell_length_a 4.1103
_cell_length_b 4.1103
_cell_length_c 4.1103
_cell_angle_alpha 90.00
_cell_angle_beta 90.00
_cell_angle_gamma 90.00
loop_
_atom_site_label
_atom_site_fract_x
_atom_site_fract_y
_atom_site_fract_z
In1 0.0000 0.0000 0.0000
Pt1 0.5000 0.5000 0.5000
O1 0.0000 0.0000 0.5000
```

## Properties
Raw formation energy   0.2694 eV/atom
D(E_F)   3.80 states/eV/cell
Total magnetic moment   3.00 Bohr magnetons per cell

The lowest D(E_F) belongs to which entry? CsScZn2Cl8